A relaxed structure of V2CdNiO6. Source: Alexandria via LeMat-Bulk, functional PBE+U.

POSCAR file:
```
V2CdNiO6
1.0
6.186 0.440 0.457
2.502 6.855 1.136
2.502 0.881 6.893
V Cd Ni O
4 2 2 12
direct
0.237 0.815 0.633 V
0.263 0.367 0.185 V
0.763 0.185 0.367 V
0.737 0.633 0.815 V
0.250 0.267 0.733 Cd
0.750 0.733 0.267 Cd
0.250 0.815 0.185 Ni
0.750 0.185 0.815 Ni
0.098 0.037 0.727 O
0.402 0.273 0.963 O
0.902 0.963 0.273 O
0.598 0.727 0.037 O
0.334 0.911 0.351 O
0.166 0.649 0.089 O
0.666 0.089 0.649 O
0.834 0.351 0.911 O
0.069 0.639 0.680 O
0.431 0.320 0.361 O
0.931 0.361 0.320 O
0.569 0.680 0.639 O
```

Values from the calculation:
Crystal system: monoclinic
ρ: 4.5 Mg/m³
Symmetry: C2/c, No. 15
E_tot: -6.275 eV/atom
Total magnetization: 4.0 Bohr magnetons per cell